Entry 1:
Compound: TiSbSeI2
Source: Alexandria via LeMat-Bulk
Functional: GGA-PBE
Structure: relaxed

Geometry as POSCAR:
```
TiSbSeI2
1.0
5.6336 0.0000 0.0000
0.0000 5.6336 0.0000
0.0000 0.0000 5.4868
I Se Sb Ti
2 1 1 1
Direct
0.5000 0.0000 0.0000 I
0.0000 0.5000 0.0000 I
0.0000 0.0000 0.0000 Se
0.0000 0.0000 0.5000 Sb
0.5000 0.5000 0.5000 Ti
```

Calculated values
formation energy from raw total energies: 0.90 eV/atom

---

Entry 2:
Compound: PmNiPH
Source: Alexandria via LeMat-Bulk
Functional: GGA-PBE
Structure: relaxed

Geometry as POSCAR:
```
PmNiPH
1.0
3.8818 0.0000 0.0000
0.0000 3.8818 0.0000
0.0000 0.0000 7.5598
H Pm Ni P
2 2 2 2
Direct
0.0000 0.0000 0.5000 H
0.5000 0.5000 0.5000 H
0.0000 0.5000 0.3222 Pm
0.5000 0.0000 0.6778 Pm
0.5000 0.5000 0.0000 Ni
0.0000 0.0000 0.0000 Ni
0.5000 0.0000 0.1588 P
0.0000 0.5000 0.8412 P
```

Calculated values
total DFT energy (no corrections): -5.7649 eV per atom

---

Entry 3:
Compound: Ho8Tm3Sc3
Source: Alexandria via LeMat-Bulk
Functional: GGA-PBE
Structure: relaxed

Geometry as POSCAR:
```
Ho8Tm3Sc3
1.0
-2.6572 1.3652 4.5783
5.8914 -1.5408 7.1415
-0.8207 9.3493 -0.0014
Sc Ho Tm
3 8 3
Direct
0.7953 0.2050 0.2050 Sc
0.2047 0.7950 0.7950 Sc
0.5000 0.5000 0.5000 Sc
0.1608 0.4417 0.2369 Ho
0.3414 0.4386 0.8784 Ho
0.6586 0.1216 0.5614 Ho
0.6586 0.5614 0.1216 Ho
0.1608 0.2369 0.4417 Ho
0.3414 0.8784 0.4386 Ho
0.8392 0.5583 0.7631 Ho
0.8392 0.7631 0.5583 Ho
0.0000 0.8233 0.1767 Tm
0.5000 0.0000 0.0000 Tm
0.0000 0.1767 0.8233 Tm
```

Calculated values
energy of formation from the pure elements: 0.130 eV/atom

---

N(E_F): 11.45 3.07 23.12 (states/eV/f.u.)